#A
VASP calculation (GGA-PBE) on a relaxed structure of TaTi2Fe2.

Output
calculated volume = 14.4 A^3/atom
spin magnetization = 0.00 μB per cell
N(E_F) = 14.268 states/eV per cell

a b c (Å): 6.922 6.922 3.006
angles (deg): 90.00 90.00 90.00
Sites, in units of the cell vectors:
Ti  0.158  0.658  0.500
Ti  0.658  0.842  0.500
Ti  0.842  0.342  0.500
Ti  0.342  0.158  0.500
Fe  0.360  0.860  0.000
Fe  0.860  0.640  0.000
Fe  0.640  0.140  0.000
Fe  0.140  0.360  0.000
Ta  0.000  0.000  0.000
Ta  0.500  0.500  0.000


#B
VASP calculation (GGA-PBE) on a relaxed structure of TaTi2Fe2.

Output
calculated volume = 15.1 A^3/atom
spin magnetization = 0.38 μB per cell
N(E_F) = 5.859 states/eV per cell

a b c (Å): 2.877 2.922 9.121
angles (deg): 80.78 90.00 90.00
Sites, in units of the cell vectors:
Ta  0.000  0.000  0.000
Ti  0.000  0.175  0.650
Ti  0.000  0.825  0.350
Fe  0.500  0.412  0.177
Fe  0.500  0.588  0.823


How do the energies compare? Relative to the most stable structure, in meV per atom: #A 0; #B 27.


#A
VASP calculation (GGA-PBE) on a relaxed structure of TaTi4Fe.

Output
calculated volume = 18.2 A^3/atom
spin magnetization = 0.00 μB per cell
N(E_F) = 6.935 states/eV per cell

a b c (Å): 4.055 4.055 6.655
angles (deg): 90.00 90.00 90.00
Sites, in units of the cell vectors:
Ta  0.000  0.000  0.000
Ti  0.500  0.000  0.718
Ti  0.000  0.500  0.718
Ti  0.500  0.000  0.282
Ti  0.000  0.500  0.282
Fe  0.500  0.500  0.500


#B
VASP calculation (GGA-PBE) on a relaxed structure of TaTi4Fe.

Output
calculated volume = 15.8 A^3/atom
spin magnetization = 0.00 μB per cell
N(E_F) = 5.807 states/eV per cell

a b c (Å): 4.476 5.200 5.303
angles (deg): 62.70 65.04 64.51
Sites, in units of the cell vectors:
Ta  0.000  0.500  0.500
Ti  0.651  0.008  0.690
Ti  0.349  0.992  0.310
Ti  0.699  0.442  0.160
Ti  0.301  0.558  0.840
Fe  0.000  0.000  0.000


How do the energies compare? Relative to the most stable structure, in meV per atom: #A 530; #B 0.